# CsRb2MnO4 PBE+U optimized geometry
# Total moment: 0.25 μB/atom
# DFT total energy: -5.172 eV per atom
data_CsRb2MnO4
_chemical_formula_sum 'Cs2 Rb4 Mn2 O8'
_space_group_name_H-M_alt 'P m n 21'
_space_group_IT_number 31
_cell_length_a 8.382
_cell_length_b 6.989
_cell_length_c 6.554
_cell_angle_alpha 90.00
_cell_angle_beta 90.00
_cell_angle_gamma 90.00
loop_
_space_group_symop_operation_xyz
'x,y,z'
'-x+1/2,-y,z+1/2'
'-x,y,z'
'x+1/2,-y,z+1/2'
loop_
_atom_site_label
_atom_site_type_symbol
_atom_site_fract_x
_atom_site_fract_y
_atom_site_fract_z
Cs1 Cs 0.000 0.098 0.000
Rb1 Rb 0.233 0.345 0.510
Mn1 Mn 0.000 0.812 0.521
O1 O 0.000 0.060 0.523
O2 O 0.000 0.728 0.770
O3 O 0.169 0.728 0.401